# 1
Entry from Alexandria via LeMat-Bulk: crystalline Ta2CrHRh at its relaxed geometry (GGA-PBE).

a = 4.2989 Å, b = 4.2989 Å, c = 3.4823 Å
α = 90.00°, β = 90.00°, γ = 90.00°
Space group P4/mmm (No. 123)
Symmetry-distinct sites (fractional):
Ta (0.0000, 0.5000, 0.0000) [2 per cell]
Cr (0.0000, 0.0000, 0.5000) [1 per cell]
H (0.0000, 0.0000, 0.0000) [1 per cell]
Rh (0.5000, 0.5000, 0.5000) [1 per cell]

Properties
Calculated volume ... 12.9 A^3/atom
Mass density ... 13.36 Mg/m³
Total magnetic moment ... 0.000 μB per atom
VASP energy ... -8.95 eV/atom

=====

# 2
Entry from Alexandria via LeMat-Bulk: crystalline TaCrHRh2 at its relaxed geometry (GGA-PBE).

a = 3.8829 Å, b = 3.8829 Å, c = 4.0425 Å
α = 90.00°, β = 90.00°, γ = 90.00°
Space group P4/mmm (No. 123)
Symmetry-distinct sites (fractional):
Ta (0.0000, 0.0000, 0.0000) [1 per cell]
Cr (0.5000, 0.5000, 0.0000) [1 per cell]
H (0.0000, 0.0000, 0.5000) [1 per cell]
Rh (0.0000, 0.5000, 0.5000) [2 per cell]

Properties
Calculated volume ... 12.2 A^3/atom
Mass density ... 11.98 Mg/m³
Total magnetic moment ... 0.328 μB per atom
VASP energy ... -8.10 eV/atom

=====

# 3
Entry from Alexandria via LeMat-Bulk: crystalline TaCr2HRh at its relaxed geometry (GGA-PBE).

a = 4.6269 Å, b = 4.6269 Å, c = 3.1674 Å
α = 90.00°, β = 90.00°, γ = 90.00°
Space group P4/mmm (No. 123)
Symmetry-distinct sites (fractional):
Ta (0.0000, 0.0000, 0.0000) [1 per cell]
Cr (0.0000, 0.5000, 0.5000) [2 per cell]
H (0.5000, 0.5000, 0.0000) [1 per cell]
Rh (0.5000, 0.5000, 0.5000) [1 per cell]

Properties
Calculated volume ... 13.6 A^3/atom
Mass density ... 9.52 Mg/m³
Total magnetic moment ... 0.000 μB per atom
VASP energy ... -7.47 eV/atom

=====

# 4
Entry from Alexandria via LeMat-Bulk: crystalline TaCr2HRh at its relaxed geometry (GGA-PBE).

a = 3.7978 Å, b = 3.7978 Å, c = 4.0271 Å
α = 90.00°, β = 90.00°, γ = 90.00°
Space group P4/mmm (No. 123)
Symmetry-distinct sites (fractional):
Ta (0.0000, 0.0000, 0.0000) [1 per cell]
Cr (0.0000, 0.5000, 0.5000) [2 per cell]
H (0.5000, 0.5000, 0.5000) [1 per cell]
Rh (0.5000, 0.5000, 0.0000) [1 per cell]

Properties
Calculated volume ... 11.6 A^3/atom
Mass density ... 11.12 Mg/m³
Total magnetic moment ... 0.255 μB per atom
VASP energy ... -8.36 eV/atom

=====

# 5
Entry from Alexandria via LeMat-Bulk: crystalline Ta2CrHRh at its relaxed geometry (GGA-PBE).

a = 4.3141 Å, b = 4.3141 Å, c = 3.5053 Å
α = 90.00°, β = 90.00°, γ = 90.00°
Space group P4/mmm (No. 123)
Symmetry-distinct sites (fractional):
Ta (0.0000, 0.5000, 0.0000) [2 per cell]
Cr (0.0000, 0.0000, 0.5000) [1 per cell]
H (0.5000, 0.5000, 0.0000) [1 per cell]
Rh (0.5000, 0.5000, 0.5000) [1 per cell]

Properties
Calculated volume ... 13.0 A^3/atom
Mass density ... 13.18 Mg/m³
Total magnetic moment ... 0.000 μB per atom
VASP energy ... -8.88 eV/atom

=====

# 6
Entry from Alexandria via LeMat-Bulk: crystalline CrTcHRh2 at its relaxed geometry (GGA-PBE).

a = 3.7954 Å, b = 3.7954 Å, c = 3.9369 Å
α = 90.00°, β = 90.00°, γ = 90.00°
Space group P4/mmm (No. 123)
Symmetry-distinct sites (fractional):
Cr (0.0000, 0.0000, 0.0000) [1 per cell]
Tc (0.5000, 0.5000, 0.0000) [1 per cell]
H (0.0000, 0.0000, 0.5000) [1 per cell]
Rh (0.0000, 0.5000, 0.5000) [2 per cell]

Properties
Calculated volume ... 11.3 A^3/atom
Mass density ... 10.45 Mg/m³
Total magnetic moment ... 0.000 μB per atom
VASP energy ... -7.62 eV/atom

=====

Which of these has the highest calculated volume? number 3

=====

Among the records above, which one has the highest VASP energy? number 3

=====

calculated volume of number 1 (Ta2CrHRh)? 12.9 A^3/atom